A relaxed structure of TaPIrS2, computed with GGA-PBE.

SG: P4/mmm (123)
Total DFT energy (no corrections) in eV/atom: -6.0162
ΔE_f (raw) in eV/atom: 0.86

extended XYZ file:
```
5
Lattice="4.6509 0.0000 0.0000 0.0000 4.6509 0.0000 0.0000 0.0000 4.9387" Properties=species:S:1:pos:R:3 pbc="T T T"
Ta 0.0000 0.0000 0.0000
P 0.0000 0.0000 2.4693
Ir 2.3254 2.3254 2.4693
S 0.0000 2.3254 0.0000
S 2.3254 0.0000 0.0000
```

A relaxed structure of Cd6NiAu2, computed with GGA-PBE.

Formation enthalpy at 0 K in kJ/mol of formula units: -65
SG: C2/c (15)
Total DFT energy (no corrections) in eV/atom: -2.0552

extended XYZ file:
```
18
Lattice="3.6834 -6.4569 0.0000 3.6834 6.4569 0.0000 -0.4613 0.0000 7.6993" Properties=species:S:1:pos:R:3 pbc="T T T"
Cd 2.8021 4.9863 7.1269
Cd 1.6620 2.5474 5.3245
Cd 3.8728 4.9863 4.4221
Cd 2.2314 0.1918 2.8032
Cd 2.0008 -0.1918 6.6528
Cd 1.8926 -2.5474 1.4748
Cd 5.0129 2.5474 6.2245
Cd 4.9048 0.1918 1.0465
Cd 4.6741 -0.1918 4.8962
Cd 3.0327 -4.9863 3.2772
Cd 5.2435 -2.5474 2.3748
Cd 4.1035 -4.9863 0.5724
Ni 3.5681 5.6870 1.9248
Ni 3.3374 -5.6870 5.7745
Au 3.2449 2.3286 0.4225
Au 3.8912 2.3286 3.4272
Au 3.0143 -2.3286 4.2722
Au 3.6606 -2.3286 7.2769
```

A relaxed structure of LiMgNi2C, computed with GGA-PBE.

Formation enthalpy at 0 K in kJ/mol of formula units: -30
SG: P4/mmm (123)
Total DFT energy (no corrections) in eV/atom: -4.9204

extended XYZ file:
```
5
Lattice="3.7744 0.0000 0.0000 0.0000 3.7744 0.0000 0.0000 0.0000 4.0264" Properties=species:S:1:pos:R:3 pbc="T T T"
Li 0.0000 0.0000 0.0000
Mg 1.8872 1.8872 0.0000
Ni 0.0000 1.8872 2.0132
Ni 1.8872 0.0000 2.0132
C 0.0000 0.0000 2.0132
```

Number 1: ΔE to the lowest computed polymorph 0.0 meV per atom. Number 2: ΔE to the lowest computed polymorph 0.0 meV per atom. Number 3: ΔE to the lowest computed polymorph 0.0 meV per atom.